1.
This record from Alexandria describes an optimized crystal structure of LiCuPO4. The functional is GGA-PBE.

Cell lengths 7.9504, 8.2623, 5.9325 Å; angles 90.00, 90.00, 90.00 degrees
Closest atoms and distances in Å follow each position.
Atoms (fractional coordinates):
Li 0.1548 0.2217 0.0000  4 O 1.92-2.07
Li 0.3452 0.7217 0.5000  4 O 1.92-2.07
Li 0.6548 0.2783 0.0000  4 O 1.92-2.07
Li 0.8452 0.7783 0.5000  4 O 1.92-2.07
Cu 0.1907 0.8583 0.0816  4 O 1.94-1.96
Cu 0.3093 0.3583 0.5816  4 O 1.94-1.96
Cu 0.6907 0.6417 0.0816  4 O 1.94-1.96
Cu 0.8093 0.1417 0.5816  4 O 1.94-1.96
P 0.1701 0.9817 0.5933  4 O 1.55-1.57
P 0.3299 0.4817 0.0933  4 O 1.55-1.57
P 0.6701 0.5183 0.5933  4 O 1.55-1.57
P 0.8299 0.0183 0.0933  4 O 1.55-1.57
O 0.0230 0.0312 0.0565  1 P 1.55
O 0.2193 0.1500 0.6860  1 P 1.55
O 0.2258 0.8433 0.7588  1 P 1.57
O 0.2320 0.4400 0.8744  1 P 1.55
O 0.2680 0.9400 0.3744  1 P 1.55
O 0.2742 0.3433 0.2588  1 P 1.57
O 0.2807 0.6500 0.1860  1 P 1.55
O 0.4770 0.5312 0.5565  1 P 1.55
O 0.5230 0.4688 0.0565  1 P 1.55
O 0.7193 0.3500 0.6860  1 P 1.55
O 0.7258 0.6567 0.7588  1 P 1.57
O 0.7320 0.0600 0.8744  1 P 1.55
O 0.7680 0.5600 0.3744  1 P 1.55
O 0.7742 0.1567 0.2588  1 P 1.57
O 0.7807 0.8500 0.1860  1 P 1.55
O 0.9770 0.9688 0.5565  1 P 1.55

- ΔE to the lowest computed polymorph: 0.035 eV/atom
- E_form (uncorrected): -1.7711 eV/atom

---

2.
This record from Alexandria describes an optimized crystal structure of CdBP. The functional is GGA-PBE.

Cell lengths 6.4178, 6.0622, 5.9296 Å; angles 90.00, 109.26, 90.00 degrees
Closest atoms and distances in Å follow each position.
Atoms (fractional coordinates):
Cd 0.2438 0.0000 0.4601  1 B 2.39, 1 P 2.65
Cd 0.2562 0.5000 0.5399  1 B 2.39, 1 P 2.65
Cd 0.7438 0.5000 0.4601  1 B 2.39, 1 P 2.65
Cd 0.7562 0.0000 0.5399  1 B 2.39, 1 P 2.65
B 0.1411 0.0981 0.0479  1 B 1.71, 1 P 1.91
B 0.3589 0.5981 0.9521  1 B 1.71, 1 P 1.91
B 0.6411 0.5981 0.0479  1 B 1.71, 1 P 1.91
B 0.8589 0.0981 0.9521  1 B 1.71, 1 P 1.91
P 0.1807 0.4183 0.0802  2 B 1.91-1.96
P 0.3193 0.9183 0.9198  2 B 1.91-1.96
P 0.6807 0.9183 0.0802  2 B 1.91-1.96
P 0.8193 0.4183 0.9198  2 B 1.91-1.96

- Calculated formation energy: 0.21 eV/atom
- ΔE to the lowest computed polymorph: 0.329 eV/atom
- Fermi-level density of states: 4.1 states/eV per cell